## CaPmCuAs (PBE-GGA)

Data for CaPmCuAs after structural relaxation.

a = 5.074 Å, b = 5.074 Å, c = 5.074 Å
α = 60.00°, β = 60.00°, γ = 60.00°
Fractional coordinates of all 4 atoms:
1 Ca 0.000 0.000 0.000
2 Pm 0.500 0.500 0.500
3 Cu 0.250 0.250 0.250
4 As 0.750 0.750 0.750

Calculated values
M_tot ... 0.00 Bohr magnetons per cell
Formation enthalpy at 0 K ... -0.58 eV per atom
Crystal system ... cubic